NbTc2Hg | GGA-PBE | relaxed

Summary:
density	12.10	g/cm3
E above lowest polymorph	0.000	eV per atom
space group	Fm-3m, No. 225
formation energy	349	meV/atom
uncorrected energy	-7.43	eV per atom

Geometry as POSCAR:
```
NbTc2Hg
1.0
0.0000 3.2260 3.2260
3.2260 0.0000 3.2260
3.2260 3.2260 0.0000
Nb Tc Hg
1 2 1
direct
0.0000 0.0000 0.0000 Nb
0.2500 0.2500 0.2500 Tc
0.7500 0.7500 0.7500 Tc
0.5000 0.5000 0.5000 Hg
```